No. 1
A geometry-optimized SrTi2Cl2 structure. Source: Alexandria via LeMat-Bulk, functional PBE.

The structure in CIF format:
```
data_SrTi2Cl2
_chemical_formula_sum 'Sr2 Ti4 Cl4'
_symmetry_space_group_name_H-M 'P 4/m b m'
_symmetry_Int_Tables_number 127
_symmetry_space_group_name_Hall '-P 4 2ab'
_cell_length_a 9.149
_cell_length_b 9.149
_cell_length_c 3.262
_cell_angle_alpha 90.00
_cell_angle_beta 90.00
_cell_angle_gamma 90.00
loop_
_atom_site_label
_atom_site_type_symbol
_atom_site_fract_x
_atom_site_fract_y
_atom_site_fract_z
_atom_site_occupancy
Sr1 Sr 0.000 0.000 0.000 1
Ti1 Ti 0.111 0.389 0.000 1
Cl1 Cl 0.116 0.616 0.500 1
```

## Properties
density: 3.09 Mg/m³
uncorrected formation energy: 3 kJ per mole of atoms
size of the total moment: 11.46 μB/cell


No. 2
A geometry-optimized Sm8Ni2Ru structure. Source: Alexandria via LeMat-Bulk, functional PBE.

The structure in CIF format:
```
data_Sm8Ni2Ru
_chemical_formula_sum 'Sm16 Ni4 Ru2'
_symmetry_space_group_name_H-M 'C 1 m 1'
_symmetry_Int_Tables_number 8
_cell_length_a 8.164
_cell_length_b 13.175
_cell_length_c 5.928
_cell_angle_alpha 90.00
_cell_angle_beta 109.93
_cell_angle_gamma 90.00
loop_
_symmetry_equiv_pos_as_xyz
'x,y,z'
'x,-y,z'
'x+1/2,y+1/2,z'
'x+1/2,-y+1/2,z'
loop_
_atom_site_label
_atom_site_type_symbol
_atom_site_fract_x
_atom_site_fract_y
_atom_site_fract_z
_atom_site_occupancy
Sm1 Sm 0.000 0.000 0.000 1
Sm2 Sm 0.077 0.375 0.762 1
Sm3 Sm 0.145 0.125 0.581 1
Sm4 Sm 0.222 0.500 0.342 1
Sm5 Sm 0.361 0.210 0.171 1
Ni1 Ni 0.362 0.294 0.673 1
Ru1 Ru 0.361 0.000 0.171 1
```

## Properties
density: 7.87 Mg/m³
size of the total moment: 0.00 μB/cell
electronic total energy: -119.27 eV for the cell shown